Here is crystalline TlZnSbI2 at its relaxed geometry from Alexandria. Energies are from PBE-GGA.

Lattice parameters (Å, degrees): 5.8929 5.8929 5.2013 90.00 90.00 90.00
Closest atoms and distances in Å follow each position.
Fractional coordinates of all 5 atoms:
Tl  0.0000  0.0000  0.0000  8 I 3.93, 4 Sb 4.17
Zn  0.5000  0.5000  0.5000  2 Sb 2.60
Sb  0.5000  0.5000  0.0000  2 Zn 2.60
I  0.0000  0.5000  0.5000  2 Zn 2.95
I  0.5000  0.0000  0.5000  2 Zn 2.95

Results
- Space group: No. 123
- Crystal system: tetragonal
- Formation energy (no corrections): -3 meV/atom